# Mg2ScPd9 | Alexandria via LeMat-Bulk | GGA-PBE | relaxed
data_Mg2ScPd9
_space_group_name_H-M_alt 'P 4/m m m'
_space_group_IT_number 123
_space_group_name_Hall '-P 4 2'
_cell_length_a 3.985
_cell_length_b 3.985
_cell_length_c 11.936
_cell_angle_alpha 90.00
_cell_angle_beta 90.00
_cell_angle_gamma 90.00
loop_
_atom_site_label
_atom_site_fract_x
_atom_site_fract_y
_atom_site_fract_z
Mg1 0.000 0.000 0.164
Sc1 0.000 0.000 0.500
Pd1 0.000 0.500 0.000
Pd2 0.000 0.500 0.332
Pd3 0.500 0.500 0.166
Pd4 0.500 0.500 0.500
# Total magnetization (μB/cell): 0.00
# Total DFT energy (no corrections) (eV/atom): -5.282
# Formation enthalpy at 0 K (meV/atom): -594